Y3Ni | PBE-GGA | optimized geometry

Computed properties:
The formation energy is 224 meV/atom. Its total magnetization is 1.850 Bohr magnetons per cell. The uncorrected energy comes out at -6.07 eV/atom.

Unit cell a=7.4019 b=7.4019 c=7.4019 alpha=90.00 beta=90.00 gamma=90.00
Space group Fm-3m (No. 225)
Symmetry-distinct sites (fractional):
1 Y 0.0000 0.0000 0.0000 [4 per cell]
2 Y 0.2500 0.2500 0.2500 [8 per cell]
3 Ni 0.0000 0.0000 0.5000 [4 per cell]